## LaTbDySe3 (PBE)

Data for a geometry-optimized LaTbDySe3 structure.

**Magnetization**: 0.001 μB/f.u.
**VASP energy**: -69.40 eV/cell
**Theoretical density**: 7.0 g/cm³
**N(E_F)**: 4.1 states/eV/f.u.
**E_form (uncorrected)**: -1.6807 eV/atom

Cell and atoms, written as CIF:
```
data_LaTbDySe3
_cell_length_a 7.9943
_cell_length_b 4.1320
_cell_length_c 10.3396
_cell_angle_alpha 90.00
_cell_angle_beta 103.69
_cell_angle_gamma 90.00
_symmetry_space_group_name_H-M 'P 1 21/m 1'
_symmetry_Int_Tables_number 11
loop_
_symmetry_equiv_pos_as_xyz
'x,y,z'
'-x,-y,-z'
'-x,y+1/2,-z'
'x,-y+1/2,z'
loop_
_atom_site_label
_atom_site_fract_x
_atom_site_fract_y
_atom_site_fract_z
La1 0.1892 0.2500 0.2145
Tb1 0.3311 0.7500 0.9100
Dy1 0.1686 0.2500 0.6205
Se1 0.0856 0.2500 0.8860
Se2 0.2084 0.7500 0.4443
Se3 0.4821 0.7500 0.1948
```